(1)
PBE-GGA Nd4PBr5, relaxed; E_tot = -4.9625 eV/atom; magnetic moment = 0.00 μB per formula unit
1.0
9.311 -2.066 0.000
9.311 2.066 0.000
-1.987 0.000 8.338
Nd P Br
4 1 5
Direct
0.000 0.000 0.220 Nd
0.000 0.000 0.780 Nd
0.350 0.350 0.919 Nd
0.650 0.650 0.081 Nd
0.500 0.500 0.000 P
0.166 0.166 0.338 Br
0.171 0.171 0.835 Br
0.500 0.500 0.500 Br
0.829 0.829 0.165 Br
0.834 0.834 0.662 Br

(2)
PBE-GGA Nd5P4Br, relaxed; E_tot = -6.2637 eV/atom; magnetic moment = 0.00 μB per formula unit
1.0
-4.689 4.689 2.953
4.689 -4.689 2.953
4.689 4.689 -2.953
Nd P Br
5 4 1
Direct
0.000 0.000 0.000 Nd
0.183 0.392 0.575 Nd
0.392 0.817 0.210 Nd
0.608 0.183 0.790 Nd
0.817 0.608 0.425 Nd
0.103 0.703 0.807 P
0.297 0.103 0.400 P
0.703 0.897 0.600 P
0.897 0.297 0.193 P
0.500 0.500 0.000 Br

(3)
PBE-GGA Nd4P2Br, relaxed; E_tot = -5.7725 eV/atom; magnetic moment = 0.51 μB per formula unit
1.0
2.053 1.185 14.048
-2.053 1.185 14.048
0.000 -2.371 14.048
Nd P Br
4 2 1
Direct
0.126 0.126 0.126 Nd
0.281 0.281 0.281 Nd
0.719 0.719 0.719 Nd
0.874 0.874 0.874 Nd
0.421 0.421 0.421 P
0.579 0.579 0.579 P
0.000 0.000 0.000 Br

(4)
PBE-GGA Nd4P3Br, relaxed; E_tot = -6.1662 eV/atom; magnetic moment = 0.00 μB per formula unit
1.0
4.229 -5.931 0.000
4.229 5.931 0.000
0.000 0.000 4.165
Nd P Br
4 3 1
Direct
0.226 0.226 0.500 Nd
0.240 0.760 0.000 Nd
0.760 0.240 0.000 Nd
0.774 0.774 0.500 Nd
0.000 0.000 0.000 P
0.000 0.500 0.500 P
0.500 0.000 0.500 P
0.500 0.500 0.000 Br